Computed, not measured: a relaxed Mg4TaRh crystal at the PBE level of DFT.

Results
**DFT total energy**: -3.838 eV per atom
**Magnetization**: 2.03 μB/cell
**Energy of formation from the pure elements**: 0.43 eV/atom
**Crystal system**: cubic
**Space-group type**: F-43m

abc: 5.382 5.382 5.382
angles: 60.00 60.00 60.00
Atoms (fractional coordinates):
Mg (0.125, 0.125, 0.125)
Mg (0.125, 0.125, 0.624)
Mg (0.125, 0.624, 0.125)
Mg (0.624, 0.125, 0.125)
Ta (0.500, 0.500, 0.500)
Rh (0.750, 0.750, 0.750)

=====

Computed, not measured: a relaxed ZnAgRu2 crystal at the PBE level of DFT.

Results
**DFT total energy**: -5.224 eV per atom
**Magnetization**: 1.48 μB/cell
**Energy of formation from the pure elements**: 0.45 eV/atom
**Crystal system**: orthorhombic
**Space-group type**: Cmmm

abc: 4.911 4.911 2.770
angles: 90.00 90.00 115.72
Atoms (fractional coordinates):
Zn (0.000, 0.000, 0.000)
Ag (0.500, 0.500, 0.000)
Ru (0.000, 0.500, 0.500)
Ru (0.500, 0.000, 0.500)

=====

Computed, not measured: a relaxed Ba2LaTa crystal at the PBE level of DFT.

Results
**DFT total energy**: -4.285 eV per atom
**Magnetization**: 2.79 μB/cell
**Energy of formation from the pure elements**: 0.87 eV/atom
**Crystal system**: tetragonal
**Space-group type**: I-4m2
**Relative energy among the computed polymorphs**: 102.2 kJ/mol of formula units

abc: 5.907 5.907 5.907
angles: 119.85 119.85 90.26
Atoms (fractional coordinates):
Ba (0.000, 0.000, 0.000)
Ba (0.750, 0.250, 0.500)
La (0.250, 0.750, 0.500)
Ta (0.500, 0.500, 0.000)